Record 1
VASP calculation (PBE) on crystalline Ca2Cu4Ge3Pt at its relaxed geometry.

Lattice parameters (Å, degrees): 4.066 4.066 10.650 90.00 90.00 90.00
Sites, in units of the cell vectors:
Ca: 0.500 0.000 0.250
Ca: 0.000 0.500 0.750
Pt: 0.500 0.500 0.500
Ge: 0.000 0.500 0.131
Ge: 0.000 0.000 0.500
Ge: 0.500 0.000 0.869
Cu: 0.000 0.500 0.355
Cu: 0.000 0.000 0.000
Cu: 0.500 0.500 0.000
Cu: 0.500 0.000 0.645

Values from the calculation:
ΔE_f ... -379.5 meV per atom
Uncorrected energy ... -4.408 eV per atom


Record 2
VASP calculation (PBE) on crystalline CaPuCu2Ge2 at its relaxed geometry.

Lattice parameters (Å, degrees): 4.252 4.252 7.732 90.00 90.00 120.00
Sites, in units of the cell vectors:
Ca: 0.000 0.000 0.500
Ge: 0.667 0.333 0.772
Ge: 0.333 0.667 0.228
Pu: 0.000 0.000 0.000
Cu: 0.667 0.333 0.244
Cu: 0.333 0.667 0.756

Values from the calculation:
ΔE_f ... -414.5 meV per atom
Uncorrected energy ... -6.041 eV per atom


Record 3
VASP calculation (PBE) on crystalline Ca2CuGe2Rh5 at its relaxed geometry.

Lattice parameters (Å, degrees): 3.369 9.970 9.970 90.00 90.00 90.00
Sites, in units of the cell vectors:
Ge: 0.000 0.869 0.369
Ge: 0.000 0.631 0.869
Ge: 0.000 0.131 0.631
Ge: 0.000 0.369 0.131
Rh: 0.500 0.565 0.701
Rh: 0.500 0.000 0.500
Rh: 0.500 0.799 0.935
Rh: 0.500 0.299 0.565
Rh: 0.500 0.065 0.799
Rh: 0.500 0.935 0.201
Rh: 0.500 0.201 0.065
Rh: 0.500 0.435 0.299
Rh: 0.500 0.701 0.435
Rh: 0.500 0.500 0.000
Ca: 0.000 0.171 0.329
Ca: 0.000 0.829 0.671
Ca: 0.000 0.671 0.171
Ca: 0.000 0.329 0.829
Cu: 0.000 0.000 0.000
Cu: 0.000 0.500 0.500

Values from the calculation:
ΔE_f ... -477.8 meV per atom
Uncorrected energy ... -5.887 eV per atom


Record 4
VASP calculation (PBE) on crystalline Ca2CuGe4Rh3 at its relaxed geometry.

Lattice parameters (Å, degrees): 4.300 4.300 9.959 90.00 90.00 90.00
Sites, in units of the cell vectors:
Ca: 0.000 0.500 0.750
Ca: 0.500 0.000 0.250
Cu: 0.500 0.500 0.500
Ge: 0.500 0.000 0.625
Ge: 0.000 0.500 0.375
Ge: 0.000 0.000 0.000
Ge: 0.500 0.500 0.000
Rh: 0.000 0.000 0.500
Rh: 0.500 0.000 0.873
Rh: 0.000 0.500 0.127

Values from the calculation:
ΔE_f ... -606.6 meV per atom
Uncorrected energy ... -5.469 eV per atom


Record 5
VASP calculation (PBE) on crystalline CaCuGe2Rh at its relaxed geometry.

Lattice parameters (Å, degrees): 4.190 4.190 5.966 110.56 110.56 90.00
Sites, in units of the cell vectors:
Cu: 0.250 0.750 0.500
Ca: 0.000 0.000 0.000
Ge: 0.624 0.624 0.249
Ge: 0.376 0.376 0.751
Rh: 0.750 0.250 0.500

Values from the calculation:
ΔE_f ... -535.7 meV per atom
Uncorrected energy ... -5.072 eV per atom


Record 6
VASP calculation (PBE) on crystalline Ca2Cu3Ge4Ru at its relaxed geometry.

Lattice parameters (Å, degrees): 4.151 4.151 10.358 90.00 90.00 90.00
Sites, in units of the cell vectors:
Ge: 0.500 0.500 0.000
Ge: 0.000 0.000 0.000
Ge: 0.500 0.000 0.631
Ge: 0.000 0.500 0.369
Ru: 0.500 0.500 0.500
Cu: 0.500 0.000 0.865
Cu: 0.000 0.000 0.500
Cu: 0.000 0.500 0.135
Ca: 0.000 0.500 0.754
Ca: 0.500 0.000 0.246

Values from the calculation:
ΔE_f ... -368.0 meV per atom
Uncorrected energy ... -4.772 eV per atom


Record 7
VASP calculation (PBE) on crystalline CaScCuGe at its relaxed geometry.

Lattice parameters (Å, degrees): 4.857 4.857 4.857 60.00 60.00 60.00
Sites, in units of the cell vectors:
Cu: 0.750 0.750 0.750
Ca: 0.500 0.500 0.500
Sc: 0.000 0.000 0.000
Ge: 0.250 0.250 0.250

Values from the calculation:
ΔE_f ... -399.6 meV per atom
Uncorrected energy ... -4.661 eV per atom


Record 8
VASP calculation (PBE) on crystalline CaScCu2Ge2 at its relaxed geometry.

Lattice parameters (Å, degrees): 4.250 4.250 7.130 90.00 90.00 120.00
Sites, in units of the cell vectors:
Sc: 0.000 0.000 0.500
Cu: 0.667 0.333 0.304
Cu: 0.333 0.667 0.696
Ge: 0.667 0.333 0.714
Ge: 0.333 0.667 0.286
Ca: 0.000 0.000 0.000

Values from the calculation:
ΔE_f ... -566.2 meV per atom
Uncorrected energy ... -4.860 eV per atom


Record 9
VASP calculation (PBE) on crystalline Ca2Cu4Si3Ge at its relaxed geometry.

Lattice parameters (Å, degrees): 4.111 4.111 9.940 90.00 90.00 90.00
Sites, in units of the cell vectors:
Si: 0.500 0.000 0.875
Si: 0.000 0.500 0.125
Si: 0.000 0.000 0.500
Ca: 0.000 0.500 0.756
Ca: 0.500 0.000 0.244
Cu: 0.500 0.500 0.000
Cu: 0.500 0.000 0.637
Cu: 0.000 0.000 0.000
Cu: 0.000 0.500 0.363
Ge: 0.500 0.500 0.500

Values from the calculation:
Uncorrected energy ... -4.467 eV per atom
Uncorrected formation energy ... -340 meV per atom


Record 10
VASP calculation (PBE) on crystalline CaSm2Cu2Ge2 at its relaxed geometry.

Lattice parameters (Å, degrees): 4.349 4.349 9.968 77.40 77.40 60.00
Sites, in units of the cell vectors:
Sm: 0.125 0.125 0.625
Sm: 0.875 0.875 0.375
Ca: 0.000 0.000 0.000
Cu: 0.599 0.599 0.202
Cu: 0.401 0.401 0.798
Ge: 0.262 0.262 0.215
Ge: 0.738 0.738 0.785

Values from the calculation:
ΔE_f ... -461.9 meV per atom
Uncorrected energy ... -4.586 eV per atom


Record 11
VASP calculation (PBE) on crystalline Ca4CuSn2Ge2 at its relaxed geometry.

Lattice parameters (Å, degrees): 5.865 6.748 6.748 63.56 78.35 78.35
Sites, in units of the cell vectors:
Ca: 0.250 0.130 0.622
Ca: 0.750 0.870 0.378
Ca: 0.250 0.622 0.130
Ca: 0.750 0.378 0.870
Ge: 0.827 0.842 0.842
Ge: 0.173 0.158 0.158
Sn: 0.244 0.630 0.630
Sn: 0.756 0.370 0.370
Cu: 0.500 0.000 0.000

Values from the calculation:
ΔE_f ... -391.7 meV per atom
Uncorrected energy ... -3.652 eV per atom


Record 12
VASP calculation (PBE) on crystalline Ca2Cu4SnGe3 at its relaxed geometry.

Lattice parameters (Å, degrees): 4.243 4.243 10.423 90.00 90.00 90.00
Sites, in units of the cell vectors:
Ge: 0.500 0.000 0.877
Ge: 0.000 0.000 0.500
Ge: 0.000 0.500 0.123
Ca: 0.500 0.000 0.233
Ca: 0.000 0.500 0.767
Cu: 0.500 0.000 0.647
Cu: 0.000 0.000 0.000
Cu: 0.500 0.500 0.000
Cu: 0.000 0.500 0.353
Sn: 0.500 0.500 0.500

Values from the calculation:
ΔE_f ... -325.1 meV per atom
Uncorrected energy ... -4.149 eV per atom


Record 13
VASP calculation (PBE) on crystalline Ca2Cu4Sn3Ge at its relaxed geometry.

Lattice parameters (Å, degrees): 4.439 4.439 10.563 90.00 90.00 90.00
Sites, in units of the cell vectors:
Ge: 0.500 0.500 0.500
Cu: 0.500 0.000 0.627
Cu: 0.000 0.000 0.000
Cu: 0.000 0.500 0.373
Cu: 0.500 0.500 0.000
Ca: 0.500 0.000 0.246
Ca: 0.000 0.500 0.754
Sn: 0.000 0.500 0.130
Sn: 0.500 0.000 0.870
Sn: 0.000 0.000 0.500

Values from the calculation:
ΔE_f ... -284.7 meV per atom
Uncorrected energy ... -3.986 eV per atom


Record 14
VASP calculation (PBE) on crystalline SrCa2Cu2Ge2 at its relaxed geometry.

Lattice parameters (Å, degrees): 4.447 4.447 10.145 77.34 77.34 60.00
Sites, in units of the cell vectors:
Ge: 0.743 0.743 0.771
Ge: 0.257 0.257 0.229
Sr: 0.000 0.000 0.000
Cu: 0.407 0.407 0.778
Cu: 0.593 0.593 0.222
Ca: 0.875 0.875 0.376
Ca: 0.125 0.125 0.624

Values from the calculation:
ΔE_f ... -424.7 meV per atom
Uncorrected energy ... -3.726 eV per atom


Record 15
VASP calculation (PBE) on crystalline CaTb2Cu2Ge2 at its relaxed geometry.

Lattice parameters (Å, degrees): 4.344 4.344 9.686 77.04 77.04 60.00
Sites, in units of the cell vectors:
Ca: 0.000 0.000 0.000
Cu: 0.404 0.404 0.787
Cu: 0.596 0.596 0.213
Ge: 0.259 0.259 0.224
Ge: 0.741 0.741 0.776
Tb: 0.873 0.873 0.380
Tb: 0.127 0.127 0.620

Values from the calculation:
ΔE_f ... -468.5 meV per atom
Uncorrected energy ... -4.567 eV per atom


Record 16
VASP calculation (PBE) on crystalline CaTbCuGe at its relaxed geometry.

Lattice parameters (Å, degrees): 5.024 5.024 5.024 60.00 60.00 60.00
Sites, in units of the cell vectors:
Ca: 0.250 0.250 0.250
Ge: 0.000 0.000 0.000
Cu: 0.500 0.500 0.500
Tb: 0.750 0.750 0.750

Values from the calculation:
ΔE_f ... -456.4 meV per atom
Uncorrected energy ... -4.293 eV per atom


Record 17
VASP calculation (PBE) on crystalline CaTmCuGe at its relaxed geometry.

Lattice parameters (Å, degrees): 4.975 4.975 4.975 60.00 60.00 60.00
Sites, in units of the cell vectors:
Ca: 0.000 0.000 0.000
Tm: 0.500 0.500 0.500
Cu: 0.750 0.750 0.750
Ge: 0.250 0.250 0.250

Values from the calculation:
ΔE_f ... -444.7 meV per atom
Uncorrected energy ... -4.241 eV per atom


Record 18
VASP calculation (PBE) on crystalline CaTmCu2Ge2 at its relaxed geometry.

Lattice parameters (Å, degrees): 4.271 4.271 7.421 90.00 90.00 120.00
Sites, in units of the cell vectors:
Cu: 0.333 0.667 0.723
Cu: 0.667 0.333 0.277
Ge: 0.667 0.333 0.726
Ge: 0.333 0.667 0.274
Tm: 0.000 0.000 0.500
Ca: 0.000 0.000 0.000

Values from the calculation:
ΔE_f ... -570.6 meV per atom
Uncorrected energy ... -4.554 eV per atom


Record 19
VASP calculation (PBE) on crystalline CaCuGe2W at its relaxed geometry.

Lattice parameters (Å, degrees): 5.196 4.856 5.196 90.00 90.00 90.00
Sites, in units of the cell vectors:
Ge: 0.500 0.000 0.000
Ge: 0.000 0.000 0.500
Cu: 0.500 0.500 0.500
Ca: 0.000 0.000 0.000
W: 0.000 0.500 0.000

Values from the calculation:
ΔE_f ... 2192.1 meV per atom
Uncorrected energy ... -3.465 eV per atom


Record 20
VASP calculation (PBE) on crystalline CaYCu2Ge2 at its relaxed geometry.

Lattice parameters (Å, degrees): 4.215 4.215 7.849 90.00 90.00 120.00
Sites, in units of the cell vectors:
Ge: 0.667 0.333 0.738
Ge: 0.333 0.667 0.262
Cu: 0.333 0.667 0.740
Cu: 0.667 0.333 0.260
Ca: 0.000 0.000 0.000
Y: 0.000 0.000 0.500

Values from the calculation:
ΔE_f ... -579.8 meV per atom
Uncorrected energy ... -4.895 eV per atom


Record 21
VASP calculation (PBE) on crystalline CaYCuGe at its relaxed geometry.

Lattice parameters (Å, degrees): 5.020 5.020 5.020 60.00 60.00 60.00
Sites, in units of the cell vectors:
Ge: 0.000 0.000 0.000
Cu: 0.500 0.500 0.500
Y: 0.250 0.250 0.250
Ca: 0.750 0.750 0.750

Values from the calculation:
ΔE_f ... -460.3 meV per atom
Uncorrected energy ... -4.755 eV per atom


Record 22
VASP calculation (PBE) on crystalline CaZnCuGe2 at its relaxed geometry.

Lattice parameters (Å, degrees): 4.183 4.183 6.081 110.12 110.12 90.00
Sites, in units of the cell vectors:
Ge: 0.618 0.618 0.235
Ge: 0.382 0.382 0.765
Zn: 0.750 0.250 0.500
Cu: 0.250 0.750 0.500
Ca: 0.000 0.000 0.000

Values from the calculation:
ΔE_f ... -367.1 meV per atom
Uncorrected energy ... -3.688 eV per atom


Record 23
VASP calculation (PBE) on crystalline Ca2ZnCu3Ge4 at its relaxed geometry.

Lattice parameters (Å, degrees): 4.158 4.158 10.507 90.00 90.00 90.00
Sites, in units of the cell vectors:
Ge: 0.500 0.000 0.638
Ge: 0.000 0.000 0.000
Ge: 0.500 0.500 0.000
Ge: 0.000 0.500 0.362
Cu: 0.000 0.500 0.133
Cu: 0.000 0.000 0.500
Cu: 0.500 0.000 0.867
Ca: 0.500 0.000 0.251
Ca: 0.000 0.500 0.749
Zn: 0.500 0.500 0.500

Values from the calculation:
ΔE_f ... -357.7 meV per atom
Uncorrected energy ... -3.961 eV per atom


Record 24
VASP calculation (PBE) on crystalline Ca2Zn4CuGe3 at its relaxed geometry.

Lattice parameters (Å, degrees): 4.146 4.146 10.994 90.00 90.00 90.00
Sites, in units of the cell vectors:
Zn: 0.500 0.500 0.000
Zn: 0.500 0.000 0.633
Zn: 0.000 0.500 0.367
Zn: 0.000 0.000 0.000
Ge: 0.000 0.000 0.500
Ge: 0.000 0.500 0.141
Ge: 0.500 0.000 0.859
Ca: 0.000 0.500 0.747
Ca: 0.500 0.000 0.253
Cu: 0.500 0.500 0.500

Values from the calculation:
ΔE_f ... -323.1 meV per atom
Uncorrected energy ... -3.028 eV per atom


Record 25
VASP calculation (PBE) on crystalline CaZnCu4Ge2 at its relaxed geometry.

Lattice parameters (Å, degrees): 4.178 4.178 8.938 76.48 76.48 60.00
Sites, in units of the cell vectors:
Zn: 0.500 0.500 0.500
Ca: 0.000 0.000 0.000
Ge: 0.250 0.250 0.249
Ge: 0.750 0.750 0.751
Cu: 0.867 0.867 0.398
Cu: 0.408 0.408 0.777
Cu: 0.592 0.592 0.223
Cu: 0.133 0.133 0.602

Values from the calculation:
ΔE_f ... -115.5 meV per atom
Uncorrected energy ... -3.727 eV per atom